No. 1
## ScPa2S6 (PBE)

Data for a relaxed ScPa2S6 crystal.

Cell lengths 6.253, 6.253, 11.947 Å; angles 90.00, 90.00, 90.00 degrees
Space group P4_2/mnm (No. 136)
Asymmetric unit:
Sc: 0.000 0.000 0.000 [2 per cell]
Pa: 0.000 0.000 0.332 [4 per cell]
S: 0.194 0.194 0.161 [8 per cell]
S: 0.199 0.199 0.500 [4 per cell]

Values from the calculation:
The density of states at the Fermi level is 11.379 states/eV per cell. As for the spin magnetization: 2.255 μB/cell. The formation energy without anion corrections is -1585 meV/atom. The calculation puts the energy above the lowest structure with this stoichiometry at 57.7 meV per atom.

=====

No. 2
## ScPa4S5 (PBE)

Data for a relaxed ScPa4S5 crystal.

Cell lengths 8.623, 8.623, 5.469 Å; angles 90.00, 90.00, 90.00 degrees
Space group I4/m (No. 87)
Asymmetric unit:
Sc: 0.000 0.000 0.000 [2 per cell]
Pa: 0.098 0.302 0.500 [8 per cell]
S: 0.000 0.000 0.500 [2 per cell]
S: 0.099 0.289 0.000 [8 per cell]

Values from the calculation:
The density of states at the Fermi level is 29.092 states/eV per cell. As for the spin magnetization: 0.005 μB/cell. The formation energy without anion corrections is -1640 meV/atom.

=====

No. 3
## Sc4PaS5 (PBE)

Data for a relaxed Sc4PaS5 crystal.

Cell lengths 3.696, 5.309, 18.863 Å; angles 90.00, 90.00, 90.00 degrees
Space group Immm (No. 71)
Asymmetric unit:
Sc: 0.000 0.000 0.098 [4 per cell]
Sc: 0.000 0.000 0.301 [4 per cell]
Pa: 0.000 0.000 0.500 [2 per cell]
S: 0.000 0.500 0.107 [4 per cell]
S: 0.000 0.500 0.300 [4 per cell]
S: 0.000 0.500 0.500 [2 per cell]

Values from the calculation:
The density of states at the Fermi level is 15.303 states/eV per cell. As for the spin magnetization: 0.005 μB/cell. The formation energy without anion corrections is -1801 meV/atom.

=====

No. 4
## ScPa2S6 (PBE)

Data for a relaxed ScPa2S6 crystal.

Cell lengths 6.400, 6.784, 10.690 Å; angles 90.00, 118.33, 90.00 degrees
Space group P2_1/c (No. 14)
Asymmetric unit:
Sc: 0.000 0.000 0.000 [2 per cell]
Pa: 0.331 0.115 0.779 [4 per cell]
S: 0.063 0.069 0.247 [4 per cell]
S: 0.265 0.680 0.091 [4 per cell]
S: 0.377 0.187 0.058 [4 per cell]

Values from the calculation:
The density of states at the Fermi level is 10.884 states/eV per cell. As for the spin magnetization: 2.227 μB/cell. The formation energy without anion corrections is -1643 meV/atom. The calculation puts the energy above the lowest structure with this stoichiometry at 0.0 meV per atom.